Arrangement w

A plane-wave DFT calculation with PBE-GGA was carried out for a geometry-optimized Al2CuSi4 structure.

## Properties
The density of states at the Fermi level is 0.50 states/eV per atom. Its space group is P6_3mc.

```
data_Al2CuSi4
_chemical_formula_sum 'Al4 Cu2 Si8'
_symmetry_space_group_name_H-M 'P 1'
_symmetry_Int_Tables_number 1
_cell_length_a 3.6170
_cell_length_b 3.6170
_cell_length_c 23.5117
_cell_angle_alpha 90.00
_cell_angle_beta 90.00
_cell_angle_gamma 120.00
loop_
_symmetry_equiv_pos_as_xyz
'x,y,z'
loop_
_atom_site_label
_atom_site_type_symbol
_atom_site_fract_x
_atom_site_fract_y
_atom_site_fract_z
Cu1 Cu 0.0000 0.0000 0.4171
Si1 Si 0.0000 0.0000 0.0205
Al1 Al 0.6667 0.3333 0.7536
Si2 Si 0.3333 0.6667 0.4674
Si3 Si 0.0000 0.0000 0.8201
Si4 Si 0.6667 0.3333 0.9674
Al2 Al 0.3333 0.6667 0.5835
Si5 Si 0.3333 0.6667 0.6883
Si6 Si 0.0000 0.0000 0.5205
Al3 Al 0.3333 0.6667 0.2536
Si7 Si 0.0000 0.0000 0.3201
Si8 Si 0.6667 0.3333 0.1883
Al4 Al 0.6667 0.3333 0.0835
Cu2 Cu 0.0000 0.0000 0.9171
```

***

Arrangement x

A plane-wave DFT calculation with PBE-GGA was carried out for a geometry-optimized Al2CuSi4 structure.

## Properties
The density of states at the Fermi level is 0.61 states/eV per atom. Its space group is P-3m1.

```
data_Al2CuSi4
_chemical_formula_sum 'Al2 Cu1 Si4'
_symmetry_space_group_name_H-M 'P 1'
_symmetry_Int_Tables_number 1
_cell_length_a 3.8147
_cell_length_b 3.8147
_cell_length_c 10.6221
_cell_angle_alpha 90.00
_cell_angle_beta 90.00
_cell_angle_gamma 120.00
loop_
_symmetry_equiv_pos_as_xyz
'x,y,z'
loop_
_atom_site_label
_atom_site_type_symbol
_atom_site_fract_x
_atom_site_fract_y
_atom_site_fract_z
Si1 Si 0.6667 0.3333 0.5691
Cu1 Cu 0.0000 0.0000 0.5000
Al1 Al 0.3333 0.6667 0.1966
Al2 Al 0.6667 0.3333 0.8034
Si2 Si 0.3333 0.6667 0.9329
Si3 Si 0.3333 0.6667 0.4309
Si4 Si 0.6667 0.3333 0.0671
```

***

Of the structures shown above, arrangement x is the most stable.